Computed, not measured: a geometry-optimized In3HPd structure at the GGA-PBE level of DFT.

Calculated values
Its polymorph energy (0 for the lowest one) is 0.21 eV/f.u. The space group is No. 221.

abc: 5.176 5.176 5.176
angles: 90.00 90.00 90.00
Fractional coordinates of all 5 atoms:
In: 0.000 0.000 0.500
In: 0.000 0.500 0.000
In: 0.500 0.000 0.000
H: 0.500 0.500 0.500
Pd: 0.000 0.000 0.000

Computed, not measured: a geometry-optimized SrCa2CuO4 structure at the GGA-PBE level of DFT.

Calculated values
The calculation puts the energy relative to the elements, uncorrected at -2.231 eV/atom. The space group is No. 63.

abc: 6.011 6.011 11.667
angles: 90.00 90.00 147.09
Fractional coordinates of all 16 atoms:
Sr: 0.113 0.887 0.750
Sr: 0.887 0.113 0.250
Ca: 0.371 0.629 0.546
Ca: 0.371 0.629 0.954
Ca: 0.629 0.371 0.046
Ca: 0.629 0.371 0.454
Cu: 0.154 0.846 0.250
Cu: 0.846 0.154 0.750
O: 0.000 0.000 0.000
O: 0.000 0.000 0.500
O: 0.266 0.734 0.123
O: 0.266 0.734 0.377
O: 0.441 0.559 0.750
O: 0.559 0.441 0.250
O: 0.734 0.266 0.623
O: 0.734 0.266 0.877

Computed, not measured: a geometry-optimized KGaGe structure at the GGA-PBE level of DFT.

Calculated values
The space group is No. 2. As for the formation energy: -0.3 eV/f.u.

abc: 4.346 6.111 7.025
angles: 75.46 72.00 69.20
Fractional coordinates of all 6 atoms:
K: 0.069 0.210 0.151
K: 0.931 0.790 0.849
Ga: 0.286 0.613 0.311
Ga: 0.714 0.387 0.689
Ge: 0.371 0.205 0.556
Ge: 0.629 0.795 0.444

Computed, not measured: a geometry-optimized NbTlF3 structure at the GGA-PBE level of DFT.

Calculated values
The calculation puts the energy relative to the elements, uncorrected at -1.864 eV/atom. Its polymorph energy (0 for the lowest one) is 0.00 eV/f.u. The space group is No. 221.

abc: 4.429 4.429 4.429
angles: 90.00 90.00 90.00
Fractional coordinates of all 5 atoms:
Nb: 0.000 0.000 0.000
Tl: 0.500 0.500 0.500
F: 0.000 0.000 0.500
F: 0.000 0.500 0.000
F: 0.500 0.000 0.000

Listing uncorrected energy for the structures above in their given order: -3.138, -5.933, -3.015, -5.474 eV/atom.
Listing volume for the structures above in their given order: 27.7, 14.3, 27.3, 17.4 A^3/atom.